Record 1
A relaxed structure of Rb5HgBr8. Source: Alexandria, functional PBE-GGA.

Properties
For the raw formation energy, the calculation gives -1264 meV/atom.

Cell: 10.046 10.046 11.199 Å, 90.00 90.00 90.00°
Space group I-4 (No. 82)
Symmetry-distinct sites (fractional):
Rb1 0.000 0.000 0.000 (multiplicity 2)
Rb2 0.136 0.266 0.383 (multiplicity 8)
Hg1 0.000 0.500 0.750 (multiplicity 2)
Br1 0.057 0.241 0.701 (multiplicity 8)
Br2 0.099 0.316 0.078 (multiplicity 8)

---

Record 2
A relaxed structure of RbHgBr. Source: Alexandria, functional PBE-GGA.

Properties
For the raw formation energy, the calculation gives -1035 meV/atom.

Cell: 4.768 7.742 4.768 Å, 90.00 90.00 90.00°
Space group Pm (No. 6)
Symmetry-distinct sites (fractional):
Rb1 0.000 0.000 0.000 (multiplicity 1)
Hg1 0.491 0.500 0.481 (multiplicity 1)
Br1 0.500 0.000 0.500 (multiplicity 1)

---

Record 3
A relaxed structure of Rb3HgBr. Source: Alexandria, functional PBE-GGA.

Properties
For the raw formation energy, the calculation gives -654 meV/atom.

Cell: 6.724 6.724 6.724 Å, 90.00 90.00 90.00°
Space group Pm-3m (No. 221)
Symmetry-distinct sites (fractional):
Rb1 0.000 0.000 0.500 (multiplicity 3)
Hg1 0.500 0.500 0.500 (multiplicity 1)
Br1 0.000 0.000 0.000 (multiplicity 1)

---

Record 4
A relaxed structure of Rb2HgRhBr6. Source: Alexandria, functional PBE-GGA.

Properties
For the raw formation energy, the calculation gives -892 meV/atom.

Cell: 7.698 10.872 7.726 Å, 90.00 90.00 90.00°
Space group Pmmn (No. 59, origin choice 2)
Symmetry-distinct sites (fractional):
Rb1 0.250 0.000 0.247 (multiplicity 4)
Hg1 0.250 0.250 0.741 (multiplicity 2)
Rh1 0.250 0.750 0.755 (multiplicity 2)
Br1 0.013 0.750 0.986 (multiplicity 4)
Br2 0.019 0.750 0.519 (multiplicity 4)
Br3 0.250 0.516 0.767 (multiplicity 4)

---

Record 5
A relaxed structure of Rb2Hg2RhBr4. Source: Alexandria, functional PBE-GGA.

Properties
For the raw formation energy, the calculation gives -887 meV/atom.

Cell: 8.174 8.174 8.472 Å, 90.00 90.00 90.00°
Space group I4/mmm (No. 139)
Symmetry-distinct sites (fractional):
Rb1 0.000 0.500 0.250 (multiplicity 4)
Hg1 0.000 0.000 0.173 (multiplicity 4)
Rh1 0.000 0.000 0.500 (multiplicity 2)
Br1 0.219 0.219 0.500 (multiplicity 8)

---

Record 6
A relaxed structure of Rb2HgRhBr6. Source: Alexandria, functional PBE-GGA.

Properties
For the raw formation energy, the calculation gives -893 meV/atom.

Cell: 7.733 7.733 10.808 Å, 90.00 90.00 90.00°
Space group I4/mmm (No. 139)
Symmetry-distinct sites (fractional):
Rb1 0.000 0.500 0.250 (multiplicity 4)
Hg1 0.000 0.000 0.000 (multiplicity 2)
Rh1 0.000 0.000 0.500 (multiplicity 2)
Br1 0.000 0.000 0.264 (multiplicity 4)
Br2 0.233 0.233 0.500 (multiplicity 8)